1.
Computed, not measured: an optimized crystal structure of Cs3K12Cd5 at the PBE-GGA level of DFT.

Computed properties:
Formation enthalpy at 0 K ... 0.1341 eV per atom
SG ... Ia-3d, No. 230
E ... -0.88 eV/atom

POSCAR file:
```
Cs3K12Cd5
1.0
-11.584 11.584 11.584
11.584 -11.584 11.584
11.584 11.584 -11.584
Cs K Cd
12 48 20
Direct
0.125 0.250 0.375 Cs
0.125 0.375 0.750 Cs
0.250 0.375 0.125 Cs
0.250 0.875 0.625 Cs
0.375 0.125 0.250 Cs
0.375 0.750 0.125 Cs
0.625 0.250 0.875 Cs
0.625 0.875 0.750 Cs
0.750 0.125 0.375 Cs
0.750 0.625 0.875 Cs
0.875 0.625 0.250 Cs
0.875 0.750 0.625 Cs
0.001 0.684 0.073 K
0.001 0.816 0.927 K
0.073 0.001 0.684 K
0.073 0.573 0.389 K
0.073 0.573 0.889 K
0.073 0.999 0.184 K
0.111 0.684 0.684 K
0.111 0.927 0.427 K
0.184 0.073 0.999 K
0.184 0.184 0.611 K
0.184 0.501 0.573 K
0.184 0.611 0.184 K
0.316 0.316 0.889 K
0.316 0.501 0.427 K
0.316 0.889 0.316 K
0.316 0.927 0.999 K
0.389 0.073 0.573 K
0.389 0.816 0.816 K
0.427 0.111 0.927 K
0.427 0.316 0.501 K
0.427 0.611 0.927 K
0.427 0.816 0.499 K
0.499 0.427 0.816 K
0.499 0.573 0.684 K
0.501 0.427 0.316 K
0.501 0.573 0.184 K
0.573 0.184 0.501 K
0.573 0.389 0.073 K
0.573 0.684 0.499 K
0.573 0.889 0.073 K
0.611 0.184 0.184 K
0.611 0.927 0.427 K
0.684 0.073 0.001 K
0.684 0.111 0.684 K
0.684 0.499 0.573 K
0.684 0.684 0.111 K
0.816 0.389 0.816 K
0.816 0.499 0.427 K
0.816 0.816 0.389 K
0.816 0.927 0.001 K
0.889 0.073 0.573 K
0.889 0.316 0.316 K
0.927 0.001 0.816 K
0.927 0.427 0.111 K
0.927 0.427 0.611 K
0.927 0.999 0.316 K
0.999 0.184 0.073 K
0.999 0.316 0.927 K
0.000 0.000 0.000 Cd
0.000 0.000 0.500 Cd
0.000 0.500 0.000 Cd
0.000 0.500 0.500 Cd
0.125 0.750 0.875 Cd
0.125 0.875 0.250 Cd
0.250 0.125 0.875 Cd
0.250 0.625 0.375 Cd
0.375 0.250 0.625 Cd
0.375 0.625 0.750 Cd
0.500 0.000 0.000 Cd
0.500 0.000 0.500 Cd
0.500 0.500 0.000 Cd
0.500 0.500 0.500 Cd
0.625 0.375 0.250 Cd
0.625 0.750 0.375 Cd
0.750 0.375 0.625 Cd
0.750 0.875 0.125 Cd
0.875 0.125 0.750 Cd
0.875 0.250 0.125 Cd
```

2.
Computed, not measured: an optimized crystal structure of ReN2 at the PBE-GGA level of DFT.

Computed properties:
SG ... Pnma, No. 62
E ... -9.45 eV/atom
Formation energy from raw total energies ... 0.7 eV per formula unit

POSCAR file:
```
ReN2
1.0
9.574 0.000 0.000
0.000 2.872 0.000
0.000 0.000 4.158
Re N
4 8
Direct
0.109 0.250 0.099 Re
0.391 0.750 0.599 Re
0.609 0.250 0.401 Re
0.891 0.750 0.901 Re
0.095 0.750 0.740 N
0.173 0.750 0.457 N
0.327 0.250 0.957 N
0.405 0.250 0.240 N
0.595 0.750 0.760 N
0.673 0.750 0.043 N
0.827 0.250 0.543 N
0.905 0.250 0.260 N
```

3.
Computed, not measured: an optimized crystal structure of Cs3AcO3 at the PBE-GGA level of DFT.

Computed properties:
SG ... C2/m, No. 12
E ... -4.85 eV/atom
Formation energy from raw total energies ... -12.4 eV per formula unit
Relative energy among the computed polymorphs ... 46 meV per atom

POSCAR file:
```
Cs3AcO3
1.0
4.109 -6.806 0.000
4.109 6.806 0.000
-1.106 0.000 7.952
Cs Ac O
6 2 6
Direct
0.225 0.775 0.000 Cs
0.261 0.739 0.500 Cs
0.352 0.352 0.148 Cs
0.648 0.648 0.852 Cs
0.739 0.261 0.500 Cs
0.775 0.225 0.000 Cs
0.184 0.184 0.661 Ac
0.816 0.816 0.339 Ac
0.114 0.114 0.361 O
0.194 0.472 0.765 O
0.472 0.194 0.765 O
0.528 0.806 0.235 O
0.806 0.528 0.235 O
0.886 0.886 0.639 O
```

4.
Computed, not measured: an optimized crystal structure of Tl2TcPtO6 at the PBE-GGA level of DFT.

Computed properties:
SG ... I4/m, No. 87
E ... -5.70 eV/atom
Formation energy from raw total energies ... -6.1 eV per formula unit

POSCAR file:
```
Tl2TcPtO6
1.0
-2.688 2.688 5.586
2.688 -2.688 5.586
2.688 2.688 -5.586
Tl Tc Pt O
2 1 1 6
Direct
0.250 0.750 0.500 Tl
0.750 0.250 0.500 Tl
0.000 0.000 0.000 Tc
0.500 0.500 0.000 Pt
0.239 0.759 0.999 O
0.241 0.239 0.480 O
0.320 0.320 0.000 O
0.680 0.680 0.000 O
0.759 0.761 0.520 O
0.761 0.241 0.001 O
```

5.
Computed, not measured: an optimized crystal structure of Y5Tm2ThSc at the PBE-GGA level of DFT.

Computed properties:
Formation enthalpy at 0 K ... 0.1713 eV per atom
SG ... Cmc2_1, No. 36
E ... -5.94 eV/atom

POSCAR file:
```
Y5Tm2ThSc
1.0
2.823 -10.842 0.000
2.823 10.842 0.000
0.000 0.000 9.461
Y Tm Th Sc
10 4 2 2
Direct
0.013 0.987 0.500 Y
0.269 0.731 0.813 Y
0.303 0.697 0.203 Y
0.393 0.607 0.530 Y
0.471 0.529 0.233 Y
0.529 0.471 0.733 Y
0.607 0.393 0.030 Y
0.697 0.303 0.703 Y
0.731 0.269 0.313 Y
0.987 0.013 0.000 Y
0.116 0.884 0.809 Tm
0.131 0.869 0.199 Tm
0.869 0.131 0.699 Tm
0.884 0.116 0.309 Tm
0.401 0.599 0.912 Th
0.599 0.401 0.412 Th
0.187 0.813 0.502 Sc
0.813 0.187 0.002 Sc
```

6.
Computed, not measured: an optimized crystal structure of Tc2WN4 at the PBE-GGA level of DFT.

Computed properties:
SG ... I4/mmm, No. 139
E ... -8.82 eV/atom
Formation energy from raw total energies ... 5.3 eV per formula unit

POSCAR file:
```
Tc2WN4
1.0
-2.023 2.023 5.174
2.023 -2.023 5.174
2.023 2.023 -5.174
Tc W N
2 1 4
Direct
0.129 0.129 0.000 Tc
0.871 0.871 0.000 Tc
0.500 0.500 0.000 W
0.000 0.500 0.500 N
0.296 0.296 0.000 N
0.500 0.000 0.500 N
0.704 0.704 0.000 N
```

7.
Computed, not measured: an optimized crystal structure of PuZrNb at the PBE-GGA level of DFT.

Computed properties:
Formation enthalpy at 0 K ... 0.4464 eV per atom
SG ... Pmmn, No. 59
E ... -10.54 eV/atom
Relative energy among the computed polymorphs ... 241 meV per atom

POSCAR file:
```
PuZrNb
1.0
2.938 0.000 0.000
0.000 2.987 0.000
0.000 0.000 15.496
Pu Zr Nb
2 2 2
Direct
0.250 0.250 0.237 Pu
0.750 0.750 0.763 Pu
0.250 0.750 0.576 Zr
0.750 0.250 0.424 Zr
0.250 0.750 0.072 Nb
0.750 0.250 0.928 Nb
```

8.
Computed, not measured: an optimized crystal structure of Ho3Er3In at the PBE-GGA level of DFT.

Computed properties:
Formation enthalpy at 0 K ... -0.1079 eV per atom
SG ... P6_3/m, No. 176
E ... -4.42 eV/atom
Relative energy among the computed polymorphs ... 0 meV per atom

POSCAR file:
```
Ho3Er3In
1.0
9.303 0.000 0.000
-4.652 8.057 0.000
0.000 0.000 5.496
Ho Er In
6 6 2
Direct
0.063 0.821 0.250 Ho
0.179 0.242 0.250 Ho
0.242 0.063 0.750 Ho
0.758 0.937 0.250 Ho
0.821 0.758 0.750 Ho
0.937 0.179 0.750 Ho
0.105 0.624 0.750 Er
0.376 0.481 0.750 Er
0.481 0.105 0.250 Er
0.519 0.895 0.750 Er
0.624 0.519 0.250 Er
0.895 0.376 0.250 Er
0.333 0.667 0.250 In
0.667 0.333 0.750 In
```

9.
Computed, not measured: an optimized crystal structure of Mn2Pd2Pt7 at the PBE-GGA level of DFT.

Computed properties:
Formation enthalpy at 0 K ... -0.0800 eV per atom
SG ... C2/m, No. 12
E ... -6.54 eV/atom

POSCAR file:
```
Mn2Pd2Pt7
1.0
3.564 -4.140 0.000
3.564 4.140 0.000
-1.765 0.000 5.951
Mn Pd Pt
2 2 7
Direct
0.220 0.780 0.000 Mn
0.780 0.220 0.000 Mn
0.309 0.309 0.024 Pd
0.691 0.691 0.976 Pd
0.048 0.591 0.312 Pt
0.099 0.099 0.338 Pt
0.409 0.952 0.688 Pt
0.500 0.500 0.500 Pt
0.591 0.048 0.312 Pt
0.901 0.901 0.662 Pt
0.952 0.409 0.688 Pt
```

10.
Computed, not measured: an optimized crystal structure of InPAu2 at the PBE-GGA level of DFT.

Computed properties:
Formation enthalpy at 0 K ... 0.2632 eV per atom
SG ... F-43m, No. 216
E ... -3.41 eV/atom
Relative energy among the computed polymorphs ... 308 meV per atom

POSCAR file:
```
InPAu2
1.0
0.000 3.371 3.371
3.371 0.000 3.371
3.371 3.371 0.000
In P Au
1 1 2
Direct
0.000 0.000 0.000 In
0.750 0.750 0.750 P
0.250 0.250 0.250 Au
0.500 0.500 0.500 Au
```

11.
Computed, not measured: an optimized crystal structure of La3TbFe at the PBE-GGA level of DFT.

Computed properties:
Formation enthalpy at 0 K ... 0.1293 eV per atom
SG ... Pm-3m, No. 221
E ... -5.45 eV/atom

POSCAR file:
```
La3TbFe
1.0
5.433 0.000 0.000
0.000 5.433 0.000
0.000 0.000 5.433
La Tb Fe
3 1 1
Direct
0.000 0.000 0.500 La
0.000 0.500 0.000 La
0.500 0.000 0.000 La
0.500 0.500 0.500 Tb
0.000 0.000 0.000 Fe
```

12.
Computed, not measured: an optimized crystal structure of La5Pm4Nd3 at the PBE-GGA level of DFT.

Computed properties:
Formation enthalpy at 0 K ... 0.0155 eV per atom
SG ... P-1, No. 2
E ... -4.81 eV/atom
Relative energy among the computed polymorphs ... 0 meV per atom

POSCAR file:
```
La5Pm4Nd3
1.0
6.404 0.000 0.000
-0.011 7.373 0.000
-0.007 -0.034 9.077
La Pm Nd
5 4 3
Direct
0.000 0.000 0.000 La
0.332 0.500 0.334 La
0.500 0.249 0.000 La
0.500 0.751 0.000 La
0.668 0.500 0.666 La
0.167 0.752 0.666 Pm
0.334 0.000 0.335 Pm
0.666 0.000 0.665 Pm
0.833 0.248 0.334 Pm
0.000 0.500 0.000 Nd
0.167 0.249 0.665 Nd
0.833 0.751 0.335 Nd
```

The total moment results, record by record, are as follows: 0.00; 0.00; 0.00; 0.03; 0.00; 0.00; 1.85; 0.01; 0.72; 0.00; 0.00; 0.00 μB/atom.